A geometry-optimized ReNi14Ir structure. Source: the Alexandria database, functional GGA-PBE.

Computed properties:
DOS at the Fermi energy ... 1.79 states/eV per atom
Energy ... -0.4674 Ry per atom

Geometry as CIF:
```
data_ReNi14Ir
_chemical_formula_sum 'Re2 Ni28 Ir2'
_cell_length_a 8.221
_cell_length_b 5.102
_cell_length_c 8.751
_cell_angle_alpha 90.00
_cell_angle_beta 90.00
_cell_angle_gamma 90.00
_symmetry_space_group_name_H-M 'A m m 2'
_symmetry_Int_Tables_number 38
_symmetry_space_group_name_Hall 'A 2 -2'
loop_
_atom_site_label
_atom_site_type_symbol
_atom_site_fract_x
_atom_site_fract_y
_atom_site_fract_z
Re1 Re 0.000 0.000 0.000
Ni1 Ni 0.000 0.250 0.250
Ni2 Ni 0.252 0.000 0.834
Ni3 Ni 0.254 0.248 0.084
Ni4 Ni 0.255 0.000 0.332
Ni5 Ni 0.500 0.000 0.165
Ni6 Ni 0.500 0.000 0.665
Ni7 Ni 0.500 0.250 0.415
Ir1 Ir 0.000 0.000 0.500
```

***

A geometry-optimized ReNi4Ir2 structure. Source: the Alexandria database, functional GGA-PBE.

Computed properties:
DOS at the Fermi energy ... 1.54 states/eV per atom
Energy ... -0.5504 Ry per atom

Geometry as CIF:
```
data_ReNi4Ir2
_chemical_formula_sum 'Re2 Ni8 Ir4'
_cell_length_a 4.593
_cell_length_b 4.639
_cell_length_c 9.483
_cell_angle_alpha 90.06
_cell_angle_beta 90.28
_cell_angle_gamma 118.53
_symmetry_space_group_name_H-M 'P -1'
_symmetry_Int_Tables_number 2
_symmetry_space_group_name_Hall '-P 1'
loop_
_atom_site_label
_atom_site_type_symbol
_atom_site_fract_x
_atom_site_fract_y
_atom_site_fract_z
Re1 Re 0.000 0.000 0.000
Re2 Re 0.000 0.500 0.500
Ni1 Ni 0.079 0.315 0.764
Ni2 Ni 0.080 0.815 0.739
Ni3 Ni 0.427 0.190 0.189
Ni4 Ni 0.428 0.690 0.312
Ir1 Ir 0.321 0.141 0.447
Ir2 Ir 0.325 0.644 0.053
```

***

A geometry-optimized Re2NiIr8 structure. Source: the Alexandria database, functional GGA-PBE.

Computed properties:
DOS at the Fermi energy ... 0.97 states/eV per atom
Energy ... -0.6736 Ry per atom

Geometry as CIF:
```
data_Re2NiIr8
_chemical_formula_sum 'Re4 Ni2 Ir16'
_cell_length_a 4.330
_cell_length_b 5.745
_cell_length_c 13.042
_cell_angle_alpha 90.00
_cell_angle_beta 90.00
_cell_angle_gamma 90.00
_symmetry_space_group_name_H-M 'I m m m'
_symmetry_Int_Tables_number 71
_symmetry_space_group_name_Hall '-I 2 2'
loop_
_atom_site_label
_atom_site_type_symbol
_atom_site_fract_x
_atom_site_fract_y
_atom_site_fract_z
Re1 Re 0.000 0.000 0.193
Ni1 Ni 0.000 0.000 0.500
Ir1 Ir 0.000 0.230 0.000
Ir2 Ir 0.000 0.275 0.363
Ir3 Ir 0.000 0.500 0.178
```

***

A geometry-optimized Re2NiIr structure. Source: the Alexandria database, functional GGA-PBE.

Computed properties:
DOS at the Fermi energy ... 0.96 states/eV per atom
Excess energy over the best structure of this formula in the dataset ... 198 meV per atom
Energy ... -0.7225 Ry per atom

Geometry as CIF:
```
data_Re2NiIr
_chemical_formula_sum 'Re6 Ni3 Ir3'
_cell_length_a 2.7312
_cell_length_b 2.7312
_cell_length_c 26.0750
_cell_angle_alpha 90.00
_cell_angle_beta 90.00
_cell_angle_gamma 120.00
_symmetry_space_group_name_H-M 'R -3 m'
_symmetry_Int_Tables_number 166
_symmetry_space_group_name_Hall '-R 3 2"'
loop_
_atom_site_label
_atom_site_type_symbol
_atom_site_fract_x
_atom_site_fract_y
_atom_site_fract_z
Re1 Re 0.0000 0.0000 0.2477
Ni1 Ni 0.0000 0.0000 0.5000
Ir1 Ir 0.0000 0.0000 0.0000
```

***

A geometry-optimized ReNi2Ir structure. Source: the Alexandria database, functional GGA-PBE.

Computed properties:
DOS at the Fermi energy ... 0.94 states/eV per atom
Excess energy over the best structure of this formula in the dataset ... 253 meV per atom
Energy ... -0.5917 Ry per atom

Geometry as CIF:
```
data_ReNi2Ir
_chemical_formula_sum 'Re1 Ni2 Ir1'
_cell_length_a 4.333
_cell_length_b 4.333
_cell_length_c 2.725
_cell_angle_alpha 90.00
_cell_angle_beta 90.00
_cell_angle_gamma 90.00
_symmetry_space_group_name_H-M 'P 4/m m m'
_symmetry_Int_Tables_number 123
_symmetry_space_group_name_Hall '-P 4 2'
loop_
_atom_site_label
_atom_site_type_symbol
_atom_site_fract_x
_atom_site_fract_y
_atom_site_fract_z
Re1 Re 0.000 0.000 0.000
Ni1 Ni 0.000 0.500 0.500
Ir1 Ir 0.500 0.500 0.000
```

***

A geometry-optimized Re2NiIr structure. Source: the Alexandria database, functional GGA-PBE.

Computed properties:
DOS at the Fermi energy ... 1.05 states/eV per atom
Excess energy over the best structure of this formula in the dataset ... 127 meV per atom
Energy ... -0.7277 Ry per atom

Geometry as CIF:
```
data_Re2NiIr
_chemical_formula_sum 'Re4 Ni2 Ir2'
_cell_length_a 3.853
_cell_length_b 3.853
_cell_length_c 7.521
_cell_angle_alpha 90.00
_cell_angle_beta 90.00
_cell_angle_gamma 90.00
_symmetry_space_group_name_H-M 'I -4 m 2'
_symmetry_Int_Tables_number 119
_symmetry_space_group_name_Hall 'I -4 -2'
loop_
_atom_site_label
_atom_site_type_symbol
_atom_site_fract_x
_atom_site_fract_y
_atom_site_fract_z
Re1 Re 0.000 0.000 0.000
Re2 Re 0.000 0.500 0.250
Ni1 Ni 0.000 0.000 0.500
Ir1 Ir 0.000 0.500 0.750
```

***

A geometry-optimized Re2Ni4Ir3 structure. Source: the Alexandria database, functional GGA-PBE.

Computed properties:
DOS at the Fermi energy ... 1.14 states/eV per atom
Energy ... -0.6139 Ry per atom

Geometry as CIF:
```
data_Re2Ni4Ir3
_chemical_formula_sum 'Re4 Ni8 Ir6'
_cell_length_a 4.621
_cell_length_b 6.759
_cell_length_c 8.241
_cell_angle_alpha 72.99
_cell_angle_beta 73.95
_cell_angle_gamma 89.55
_symmetry_space_group_name_H-M 'P -1'
_symmetry_Int_Tables_number 2
_symmetry_space_group_name_Hall '-P 1'
loop_
_atom_site_label
_atom_site_type_symbol
_atom_site_fract_x
_atom_site_fract_y
_atom_site_fract_z
Re1 Re 0.113 0.366 0.111
Re2 Re 0.337 0.917 0.667
Ni1 Ni 0.004 0.414 0.663
Ni2 Ni 0.227 0.977 0.219
Ni3 Ni 0.336 0.753 0.001
Ni4 Ni 0.447 0.694 0.439
Ir1 Ir 0.103 0.200 0.449
Ir2 Ir 0.224 0.137 0.885
Ir3 Ir 0.452 0.525 0.775
```

***

A geometry-optimized ReNi2Ir structure. Source: the Alexandria database, functional GGA-PBE.

Computed properties:
DOS at the Fermi energy ... 1.07 states/eV per atom
Excess energy over the best structure of this formula in the dataset ... 33 meV per atom
Energy ... -0.6078 Ry per atom

Geometry as CIF:
```
data_ReNi2Ir
_chemical_formula_sum 'Re2 Ni4 Ir2'
_cell_length_a 5.422
_cell_length_b 3.685
_cell_length_c 5.841
_cell_angle_alpha 90.00
_cell_angle_beta 117.33
_cell_angle_gamma 90.00
_symmetry_space_group_name_H-M 'P 1 21/m 1'
_symmetry_Int_Tables_number 11
_symmetry_space_group_name_Hall '-P 2yb'
loop_
_atom_site_label
_atom_site_type_symbol
_atom_site_fract_x
_atom_site_fract_y
_atom_site_fract_z
Re1 Re 0.061 0.250 0.376
Ni1 Ni 0.176 0.750 0.111
Ni2 Ni 0.313 0.250 0.884
Ir1 Ir 0.436 0.750 0.628
```

***

A geometry-optimized TaRe2NiIr structure. Source: the Alexandria database, functional GGA-PBE.

Computed properties:
DOS at the Fermi energy ... 1.42 states/eV per atom
Energy ... -0.6248 Ry per atom

Geometry as CIF:
```
data_TaRe2NiIr
_chemical_formula_sum 'Ta1 Re2 Ni1 Ir1'
_cell_length_a 4.663
_cell_length_b 4.663
_cell_length_c 4.438
_cell_angle_alpha 90.00
_cell_angle_beta 90.00
_cell_angle_gamma 90.00
_symmetry_space_group_name_H-M 'P 4/m m m'
_symmetry_Int_Tables_number 123
_symmetry_space_group_name_Hall '-P 4 2'
loop_
_atom_site_label
_atom_site_type_symbol
_atom_site_fract_x
_atom_site_fract_y
_atom_site_fract_z
Ta1 Ta 0.000 0.000 0.000
Re1 Re 0.000 0.500 0.500
Ni1 Ni 0.500 0.500 0.000
Ir1 Ir 0.500 0.500 0.500
```

***

A geometry-optimized Ni8IrRh4 structure. Source: the Alexandria database, functional GGA-PBE.

Computed properties:
DOS at the Fermi energy ... 2.21 states/eV per atom
Energy ... -0.4439 Ry per atom

Geometry as CIF:
```
data_Ni8IrRh4
_chemical_formula_sum 'Ni24 Ir3 Rh12'
_cell_length_a 8.1014
_cell_length_b 8.1014
_cell_length_c 9.8832
_cell_angle_alpha 90.00
_cell_angle_beta 90.00
_cell_angle_gamma 120.00
_symmetry_space_group_name_H-M 'R -3 m'
_symmetry_Int_Tables_number 166
_symmetry_space_group_name_Hall '-R 3 2"'
loop_
_atom_site_label
_atom_site_type_symbol
_atom_site_fract_x
_atom_site_fract_y
_atom_site_fract_z
Ni1 Ni 0.0000 0.0000 0.2411
Ni2 Ni 0.0117 0.5059 0.7460
Ir1 Ir 0.0000 0.0000 0.5000
Rh1 Rh 0.0000 0.0000 0.0000
Rh2 Rh 0.0000 0.5000 0.0000
```

***

Number 1: calculated volume 367.0 Å³ per cell. Number 2: calculated volume 177.5 Å³ per cell. Number 3: calculated volume 324.5 Å³ per cell. Number 4: calculated volume 168.5 Å³ per cell. Number 5: calculated volume 51.2 Å³ per cell. Number 6: calculated volume 111.7 Å³ per cell. Number 7: calculated volume 235.8 Å³ per cell. Number 8: calculated volume 103.7 Å³ per cell. Number 9: calculated volume 96.5 Å³ per cell. Number 10: calculated volume 561.7 Å³ per cell.